A crystal of CuRh2 relaxed with PBEsol, computed with meta-GGA SCAN.

Cell: 2.666 5.013 6.235 Å, 104.45 90.00 105.42°
Positions (direct):
Cu: 0.026 0.052 0.810
Cu: 0.974 0.948 0.190
Rh: 0.638 0.275 0.526
Rh: 0.303 0.606 0.863
Rh: 0.697 0.394 0.137
Rh: 0.362 0.725 0.474

Results
Space-group type: C2/m, No. 12
Fermi-level density of states in states/eV/cell: 7.88
E_tot in eV/atom: -27.5023